1.
Entry from Alexandria via LeMat-Bulk: an optimized crystal structure of BaUPtSe4 (GGA-PBE).

Values from the calculation:
- Uncorrected formation energy: -1.072 eV/atom
- Total magnetic moment: 2.6 μB per cell

Lattice parameters (Å, degrees): 7.2316 5.8955 9.1118 90.00 110.27 90.00
Closest atoms and distances in Å follow each position.
Sites, in units of the cell vectors:
Ba (0.7587, 0.7500, 0.9400)  6 Se 3.26-3.40, 2 Pt 3.61
Ba (0.2413, 0.2500, 0.0600)  6 Se 3.26-3.40, 2 Pt 3.61
U (0.7237, 0.7500, 0.4466)  8 Se 2.80-3.11
U (0.2763, 0.2500, 0.5534)  8 Se 2.80-3.11
Pt (0.2381, 0.7500, 0.2879)  4 Se 2.44-2.55
Pt (0.7619, 0.2500, 0.7121)  4 Se 2.44-2.55
Se (0.0347, 0.5093, 0.7072)  1 Pt 2.51
Se (0.9653, 0.0093, 0.2928)  1 Pt 2.51
Se (0.9653, 0.4907, 0.2928)  1 Pt 2.51
Se (0.0347, 0.9907, 0.7072)  1 Pt 2.51
Se (0.4597, 0.7500, 0.1372)  1 Pt 2.44
Se (0.5403, 0.2500, 0.8628)  1 Pt 2.44
Se (0.4215, 0.7500, 0.5829)  1 Pt 2.55
Se (0.5785, 0.2500, 0.4171)  1 Pt 2.55


2.
Entry from Alexandria via LeMat-Bulk: an optimized crystal structure of Zr2ScOs (GGA-PBE).

Values from the calculation:
- Total magnetic moment: 0.0 μB per cell

Lattice parameters (Å, degrees): 5.8042 5.8042 4.9024 65.03 65.03 33.62
Closest atoms and distances in Å follow each position.
Sites, in units of the cell vectors:
Sc (0.2500, 0.2500, 0.2500)  4 Os 2.97, 8 Zr 3.25-3.31
Os (0.7500, 0.7500, 0.7500)  4 Zr 2.71, 4 Sc 2.97
Zr (0.0363, 0.0363, 0.9635)  2 Os 2.71
Zr (0.4637, 0.4637, 0.5365)  2 Os 2.71


DOS(E_F) per entry: 6.96 3.12 states/eV/f.u.
V per entry: 26.03 20.52 Å³ per atom
Final energy per entry: -5.8136 -8.9512 eV/atom